# TcSb2W

A relaxed TcSb2W crystal (GGA-PBE, the Alexandria database).

Structure (extended XYZ):
```
4
Lattice="4.6674 0.0000 0.0000 0.0000 4.6674 0.0000 0.0000 0.0000 3.2923" Properties=species:S:1:pos:R:3 pbc="T T T"
Sb 2.3337 2.3337 0.0000
Sb 0.0000 0.0000 0.0000
W 0.0000 2.3337 1.6462
Tc 2.3337 0.0000 1.6462
```

Results
Formation energy from raw total energies: 0.392 eV/atom
Energy relative to the lowest polymorph listed for this composition: 0.96 eV/f.u.



# TcSb2W

A relaxed TcSb2W crystal (GGA-PBE, the Alexandria database).

Structure (extended XYZ):
```
4
Lattice="0.0932 2.6431 3.8445 -0.1646 4.6495 -0.3606 -3.8279 2.3098 1.3367" Properties=species:S:1:pos:R:3 pbc="T T T"
Sb -2.9245 7.2018 3.6154
Sb -0.9748 2.4006 1.2051
W -1.9497 4.8012 2.4103
Tc 0.0000 0.0000 0.0000
```

Results
Formation energy from raw total energies: 0.413 eV/atom
Energy relative to the lowest polymorph listed for this composition: 1.05 eV/f.u.



# TcSbW2

A relaxed TcSbW2 crystal (GGA-PBE, the Alexandria database).

Structure (extended XYZ):
```
4
Lattice="4.2574 0.0000 0.0000 0.0000 2.9630 0.0191 0.0000 2.9511 5.3648" Properties=species:S:1:pos:R:3 pbc="T T T"
Tc 2.1287 4.4356 4.0380
Sb 2.1287 1.4785 1.3460
W 0.0000 2.9561 2.7491
W 0.0000 2.9521 5.3077
```

Results
Formation energy from raw total energies: 0.406 eV/atom



# Zn2TcSbW

A relaxed Zn2TcSbW crystal (GGA-PBE, the Alexandria database).

Structure (extended XYZ):
```
5
Lattice="-2.3471 4.1324 0.9385 -1.4146 0.2776 -4.7603 -4.0074 -2.5132 1.0443" Properties=species:S:1:pos:R:3 pbc="T T T"
W -3.8845 0.9484 -1.3887
Sb 0.0000 0.0000 0.0000
Tc -0.7073 0.1388 -2.3801
Zn -2.0037 -1.2566 0.5222
Zn -1.1735 2.0662 0.4692
```

Results
Formation energy from raw total energies: 2.004 eV/atom



# Y2TcSb

A relaxed Y2TcSb crystal (GGA-PBE, the Alexandria database).

Structure (extended XYZ):
```
4
Lattice="-7.6322 4.1118 -3.5697 -8.9331 2.7896 -0.5646 -7.2642 5.9018 -0.5478" Properties=species:S:1:pos:R:3 pbc="T T T"
Tc -17.8720 9.6024 -3.5115
Sb -5.9573 3.2008 -1.1705
Y -0.2375 0.1276 -0.0467
Y -11.6772 6.2740 -2.2944
```

Results
Formation energy from raw total energies: -0.138 eV/atom



# YTc2Sb2

A relaxed YTc2Sb2 crystal (GGA-PBE, the Alexandria database).

Structure (extended XYZ):
```
5
Lattice="4.5612 0.0000 0.0000 0.0000 4.5612 0.0000 2.2806 2.2806 5.3063" Properties=species:S:1:pos:R:3 pbc="T T T"
Sb 4.5612 4.5612 3.8834
Sb 2.2806 2.2806 1.4229
Tc 2.2806 4.5612 2.6532
Tc 4.5612 2.2806 2.6532
Y 0.0000 0.0000 0.0000
```

Results
Formation energy from raw total energies: -0.173 eV/atom
Energy relative to the lowest polymorph listed for this composition: 0.00 eV/f.u.



# YTcSb2

A relaxed YTcSb2 crystal (GGA-PBE, the Alexandria database).

Structure (extended XYZ):
```
4
Lattice="-2.3200 -2.2169 1.5381 -1.1718 -0.9994 -3.2080 4.8776 -5.2138 -0.1575" Properties=species:S:1:pos:R:3 pbc="T T T"
Sb 0.0220 -0.0236 -0.0007
Sb -0.2951 -3.1590 -0.8818
Tc 2.2450 -2.3997 -0.0725
Y 1.8526 -5.4547 -0.9511
```

Results
Formation energy from raw total energies: -0.189 eV/atom
Energy relative to the lowest polymorph listed for this composition: 0.65 eV/f.u.



# YTc2Sb2

A relaxed YTc2Sb2 crystal (GGA-PBE, the Alexandria database).

Structure (extended XYZ):
```
10
Lattice="-2.2066 7.4119 0.8059 -0.8568 0.5828 -7.7059 -3.1233 -0.9597 0.2747" Properties=species:S:1:pos:R:3 pbc="T T T"
Tc -1.5136 4.7768 -0.5213
Tc -2.4542 6.7886 -4.1872
Tc -1.5498 3.2179 -6.3788
Tc -0.6092 1.2061 -2.7129
Sb -2.4486 2.1314 -0.8242
Sb -3.7381 4.9036 -5.8012
Sb -2.4811 1.0931 -4.8217
Sb -3.7055 5.9419 -1.8037
Y -1.5317 3.9973 -3.4500
Y 0.0000 0.0000 0.0000
```

Results
Formation energy from raw total energies: -0.047 eV/atom
Energy relative to the lowest polymorph listed for this composition: 0.63 eV/f.u.